1.
A geometry-optimized Mg2Fe2Ni structure. Source: the Alexandria database, functional PBE.

Computed properties:
Energy of formation = 209 meV per atom
Calculated total energy = -49.697 eV for the cell shown

Geometry as POSCAR:
```
Mg2Fe2Ni
1.0
5.9848 0.0000 0.0000
0.0000 5.9848 0.0000
0.0000 0.0000 4.2488
Mg Fe Ni
4 4 2
direct
0.1740 0.3260 0.0000
0.3260 0.8260 0.0000
0.6740 0.1740 0.0000
0.8260 0.6740 0.0000
0.1320 0.6320 0.5000
0.3680 0.1320 0.5000
0.6320 0.8680 0.5000
0.8680 0.3680 0.5000
0.0000 0.0000 0.5000
0.5000 0.5000 0.5000
```


2.
A geometry-optimized MgFe3Ni structure. Source: the Alexandria database, functional PBE.

Computed properties:
Relative energy among the computed polymorphs = 0.0 kJ per mole of atoms
Energy of formation = 759 meV per atom
Calculated total energy = -28.968 eV for the cell shown

Geometry as POSCAR:
```
MgFe3Ni
1.0
4.3745 0.0000 0.0000
0.0000 4.3745 0.0000
0.0000 0.0000 4.3745
Mg Fe Ni
1 3 1
direct
0.0000 0.0000 0.0000
0.0000 0.5000 0.5000
0.5000 0.0000 0.5000
0.5000 0.5000 0.0000
0.5000 0.5000 0.5000
```